Material: CsBaTeSe3
Method: DFT, PBE-GGA
State: optimized geometry

abc: 10.2584 10.2584 9.6370
angles: 90.00 90.00 151.98
Sites, in units of the cell vectors:
Cs: 0.2199 0.7801 0.7500
Cs: 0.7801 0.2199 0.2500
Ba: 0.0000 0.0000 0.0000
Ba: 0.0000 0.0000 0.5000
Te: 0.4216 0.5784 0.7500
Te: 0.5784 0.4216 0.2500
Se: 0.1303 0.8697 0.2500
Se: 0.3972 0.6028 0.1227
Se: 0.3972 0.6028 0.3773
Se: 0.6028 0.3972 0.6227
Se: 0.6028 0.3972 0.8773
Se: 0.8697 0.1303 0.7500

Values from the calculation:
total energy: -3.678 eV per atom
raw formation energy: -949 meV per atom
space group: Cmcm, No. 63